ScPa3 after structural relaxation. Source: the Alexandria database, functional PBE.

Computed properties:
- Fermi-level density of states: 41.806 states/eV/cell
- Volume: 389.1 Å³/cell
- Magnetic moment: 0.00 μB per formula unit
- DFT formation energy: 1.1 eV per formula unit
- Relative energy among the computed polymorphs: 0.192 eV per atom

a b c (Å): 7.301 7.301 7.301
angles (deg): 90.00 90.00 90.00
Space group Fm-3m (No. 225)
Unique sites:
1 Sc 0.000 0.000 0.000 (multiplicity 4)
2 Pa 0.000 0.000 0.500 (multiplicity 4)
3 Pa 0.250 0.250 0.250 (multiplicity 8)

---

ScPa4 after structural relaxation. Source: the Alexandria database, functional PBE.

Computed properties:
- Fermi-level density of states: 13.389 states/eV/cell
- Volume: 140.7 Å³/cell
- Magnetic moment: 0.00 μB per formula unit
- DFT formation energy: 6.3 eV per formula unit
- Relative energy among the computed polymorphs: 1.213 eV per atom

a b c (Å): 5.201 5.201 5.201
angles (deg): 90.00 90.00 90.00
Space group Pm-3m (No. 221)
Unique sites:
1 Sc 0.000 0.000 0.000 (multiplicity 1)
2 Pa 0.000 0.000 0.500 (multiplicity 3)
3 Pa 0.500 0.500 0.500 (multiplicity 1)

---

Sc5Pa3 after structural relaxation. Source: the Alexandria database, functional PBE.

Computed properties:
- Fermi-level density of states: 14.198 states/eV/cell
- Volume: 197.1 Å³/cell
- Magnetic moment: 0.00 μB per formula unit
- DFT formation energy: 0.4 eV per formula unit

a b c (Å): 3.212 3.212 19.103
angles (deg): 90.00 90.00 90.00
Space group P4/mmm (No. 123)
Unique sites:
1 Sc 0.000 0.000 0.000 (multiplicity 1)
2 Sc 0.000 0.000 0.251 (multiplicity 2)
3 Sc 0.500 0.500 0.122 (multiplicity 2)
4 Pa 0.000 0.000 0.500 (multiplicity 1)
5 Pa 0.500 0.500 0.374 (multiplicity 2)

---

ScPa2 after structural relaxation. Source: the Alexandria database, functional PBE.

Computed properties:
- Fermi-level density of states: 25.357 states/eV/cell
- Volume: 292.5 Å³/cell
- Magnetic moment: 0.00 μB per formula unit
- DFT formation energy: 0.5 eV per formula unit
- Relative energy among the computed polymorphs: 0.000 eV per atom

a b c (Å): 5.171 5.181 10.917
angles (deg): 90.00 90.00 90.00
Space group Fmmm (No. 69)
Unique sites:
1 Sc 0.000 0.000 0.000 (multiplicity 4)
2 Pa 0.000 0.000 0.322 (multiplicity 8)

---

Sc3Pa5 after structural relaxation. Source: the Alexandria database, functional PBE.

Computed properties:
- Fermi-level density of states: 14.154 states/eV/cell
- Volume: 199.0 Å³/cell
- Magnetic moment: 0.00 μB per formula unit
- DFT formation energy: 0.3 eV per formula unit

a b c (Å): 3.232 3.232 19.054
angles (deg): 90.00 90.00 90.00
Space group P4/mmm (No. 123)
Unique sites:
1 Sc 0.000 0.000 0.000 (multiplicity 1)
2 Sc 0.500 0.500 0.128 (multiplicity 2)
3 Pa 0.000 0.000 0.249 (multiplicity 2)
4 Pa 0.000 0.000 0.500 (multiplicity 1)
5 Pa 0.500 0.500 0.374 (multiplicity 2)

---

Sc3Pa2 after structural relaxation. Source: the Alexandria database, functional PBE.

Computed properties:
- Fermi-level density of states: 25.398 states/eV/cell
- Volume: 368.8 Å³/cell
- Magnetic moment: 0.00 μB per formula unit
- DFT formation energy: 0.2 eV per formula unit

a b c (Å): 3.2597 3.2597 40.0817
angles (deg): 90.00 90.00 120.00
Space group R-3m (No. 166, hexagonal axes)
Unique sites:
1 Sc 0.0000 0.0000 0.0000 (multiplicity 3)
2 Sc 0.0000 0.0000 0.4007 (multiplicity 6)
3 Pa 0.0000 0.0000 0.2005 (multiplicity 6)

---

ScPa3 after structural relaxation. Source: the Alexandria database, functional PBE.

Computed properties:
- Fermi-level density of states: 8.669 states/eV/cell
- Volume: 98.6 Å³/cell
- Magnetic moment: 0.00 μB per formula unit
- DFT formation energy: 0.5 eV per formula unit
- Relative energy among the computed polymorphs: 0.044 eV per atom

a b c (Å): 4.620 4.620 4.620
angles (deg): 90.00 90.00 90.00
Space group Pm-3m (No. 221)
Unique sites:
1 Sc 0.000 0.000 0.000 (multiplicity 1)
2 Pa 0.000 0.500 0.500 (multiplicity 3)

---

ScPa4 after structural relaxation. Source: the Alexandria database, functional PBE.

Computed properties:
- Fermi-level density of states: 38.767 states/eV/cell
- Volume: 491.1 Å³/cell
- Magnetic moment: 0.00 μB per formula unit
- DFT formation energy: 0.2 eV per formula unit
- Relative energy among the computed polymorphs: 0.000 eV per atom

a b c (Å): 3.200 5.507 27.867
angles (deg): 90.00 90.00 90.00
Space group Fmmm (No. 69)
Unique sites:
1 Sc 0.000 0.000 0.000 (multiplicity 4)
2 Pa 0.000 0.000 0.200 (multiplicity 8)
3 Pa 0.000 0.000 0.399 (multiplicity 8)

---

Sc3PaSe4 after structural relaxation. Source: the Alexandria database, functional PBE.

Computed properties:
- Fermi-level density of states: 14.879 states/eV/cell
- Volume: 341.6 Å³/cell
- Magnetic moment: 0.51 μB per formula unit
- Raw formation energy: -11.830 eV per formula unit

a b c (Å): 3.8478 3.8478 26.6413
angles (deg): 90.00 90.00 120.00
Space group P6_3/mmc (No. 194)
Unique sites:
1 Sc 0.0000 0.0000 0.0000 (multiplicity 2)
2 Sc 0.3333 0.6667 0.1218 (multiplicity 4)
3 Pa 0.3333 0.6667 0.7500 (multiplicity 2)
4 Se 0.0000 0.0000 0.1787 (multiplicity 4)
5 Se 0.3333 0.6667 0.5600 (multiplicity 4)

---

ScPaSe2 after structural relaxation. Source: the Alexandria database, functional PBE.

Computed properties:
- Fermi-level density of states: 15.823 states/eV/cell
- Volume: 332.0 Å³/cell
- Magnetic moment: 1.13 μB per formula unit
- Raw formation energy: -3.474 eV per formula unit
- Relative energy among the computed polymorphs: 0.523 eV per atom

a b c (Å): 3.7611 3.7611 27.0984
angles (deg): 90.00 90.00 120.00
Space group R-3m (No. 166, hexagonal axes)
Unique sites:
1 Sc 0.0000 0.0000 0.0000 (multiplicity 3)
2 Pa 0.0000 0.0000 0.5000 (multiplicity 3)
3 Se 0.0000 0.0000 0.0966 (multiplicity 6)

---

ScPaSe after structural relaxation. Source: the Alexandria database, functional PBE.

Computed properties:
- Fermi-level density of states: 19.282 states/eV/cell
- Volume: 277.6 Å³/cell
- Magnetic moment: 0.00 μB per formula unit
- Raw formation energy: -2.227 eV per formula unit

a b c (Å): 13.373 3.462 5.997
angles (deg): 90.00 90.00 90.00
Space group Amm2 (No. 38)
Unique sites:
1 Sc 0.199 0.000 0.000 (multiplicity 4)
2 Pa 0.000 0.000 0.332 (multiplicity 2)
3 Pa 0.500 0.000 0.000 (multiplicity 2)
4 Se 0.338 0.000 0.333 (multiplicity 4)

---

ScPaSe6 after structural relaxation. Source: the Alexandria database, functional PBE.

Computed properties:
- Fermi-level density of states: 27.162 states/eV/cell
- Volume: 1222.6 Å³/cell
- Magnetic moment: 0.00 μB per formula unit
- Raw formation energy: -5.345 eV per formula unit

a b c (Å): 10.693 10.693 10.693
angles (deg): 90.00 90.00 90.00
Space group Fm-3m (No. 225)
Unique sites:
1 Sc 0.000 0.000 0.000 (multiplicity 4)
2 Pa 0.000 0.000 0.500 (multiplicity 4)
3 Se 0.000 0.000 0.247 (multiplicity 24)

---

Here are the calculated uncorrected energy numbers, same order: -8.44; -7.60; -7.47; -8.26; -8.27; -7.55; -8.59; -8.81; -6.78; -6.57; -7.18; -5.26 (eV per atom).